Record 1
A plane-wave DFT calculation with PBE was carried out for a relaxed Cs7Bi2H2 crystal.

Summary:
VASP energy (eV per atom): -2.0312
DOS at the Fermi energy (states/eV per cell): 3.739
Crystal system: orthorhombic

a = 8.430 Å, b = 8.163 Å, c = 8.430 Å
α = 90.01°, β = 108.87°, γ = 89.99°
Atoms (fractional coordinates):
H1 0.702 0.000 0.298
H2 0.298 0.000 0.702
Cs1 0.500 0.236 0.500
Cs2 0.500 0.751 0.000
Cs3 0.500 0.249 0.000
Cs4 0.500 0.764 0.500
Cs5 0.000 0.751 0.500
Cs6 0.000 0.000 0.000
Cs7 0.000 0.249 0.500
Bi1 0.831 0.500 0.831
Bi2 0.169 0.500 0.169



Record 2
A plane-wave DFT calculation with PBE was carried out for a relaxed Cd4FeIr crystal.

Summary:
VASP energy (eV per atom): -2.8962
DOS at the Fermi energy (states/eV per cell): 4.991
ΔE_f (meV per atom): 601
Crystal system: cubic

a = 5.445 Å, b = 5.445 Å, c = 5.445 Å
α = 60.00°, β = 60.00°, γ = 60.00°
Site moments in Bohr magnetons follow the coordinates.
Atoms (fractional coordinates):
Cd1 0.875 0.375 0.375  -0.02
Cd2 0.375 0.375 0.875  -0.02
Cd3 0.375 0.875 0.375  -0.02
Cd4 0.375 0.375 0.375  -0.02
Fe1 0.750 0.750 0.750  3.10
Ir1 0.000 0.000 0.000  0.46